Ti4TcGe | PBE | optimized geometry

abc: 4.272 4.279 7.412
angles: 73.22 73.25 60.06
Positions (direct):
Ti 0.128 0.129 0.615
Ti 0.621 0.620 0.139
Tc 0.500 0.500 0.500
Ti 0.379 0.380 0.861
Ge 0.000 0.000 0.000
Ti 0.872 0.871 0.385

Properties
volume	18.45	A^3/atom
ΔH_f (0 K)	-103	meV per atom
raw total energy	-7.863	eV/atom